{
  "formula": "ZrSe3",
  "functional": "meta-GGA SCAN",
  "state": "single point on PBEsol structure",
  "lattice": [[3.8145, 0.0000, 0.0000], [-1.9073, 3.3035, 0.0000], [0.0000, 0.0000, 7.0058]],
  "species": ["Zr", "Se", "Se", "Se"],
  "frac_coords": [[0.0000, 0.0000, 0.0000], [0.0000, 0.0000, 0.5000], [0.6667, 0.3333, 0.2195], [0.6667, 0.3333, 0.7805]],
  "m_tot_mub_per_atom": 0.00,
  "final_energy_ev_per_atom": -23.2881
}

{
  "formula": "Zr2Se",
  "functional": "meta-GGA SCAN",
  "state": "single point on PBEsol structure",
  "lattice": [[-1.6561, 1.6561, 5.5171], [1.6561, -1.6561, 5.5171], [1.6561, 1.6561, -5.5171]],
  "species": ["Zr", "Zr", "Se"],
  "frac_coords": [[0.1465, 0.1465, 0.0000], [0.8535, 0.8535, 0.0000], [0.5000, 0.5000, 0.0000]],
  "m_tot_mub_per_atom": 0.00,
  "final_energy_ev_per_atom": -27.8622
}

{
  "formula": "ZrSe4",
  "functional": "meta-GGA SCAN",
  "state": "single point on PBEsol structure",
  "lattice": [[-2.7239, 2.7239, 4.0855], [2.7239, -2.7239, 4.0855], [2.7239, 2.7239, -4.0855]],
  "species": ["Zr", "Se", "Se", "Se", "Se"],
  "frac_coords": [[0.0000, 0.0000, 0.0000], [0.2500, 0.7500, 0.5000], [0.3119, 0.3119, 0.0000], [0.6881, 0.6881, 0.0000], [0.7500, 0.2500, 0.5000]],
  "m_tot_mub_per_atom": 0.19,
  "final_energy_ev_per_atom": -22.1715
}